No. 1
Crystalline FeAsIr at its relaxed geometry, computed with GGA-PBE.

```
FeAsIr
1.0
-1.474 1.474 4.860
1.474 -1.474 4.860
1.474 1.474 -4.860
Fe As Ir
1 1 1
direct
0.000 0.000 0.000 Fe
0.656 0.656 0.000 As
0.324 0.324 0.000 Ir
```

Results
The space group is I4mm, No. 107. Its total moment is 2.724 μB/cell. The calculation puts the formation energy from the elements at 0.120 eV per atom.

***

No. 2
Crystalline NbCo at its relaxed geometry, computed with GGA-PBE.

```
NbCo
1.0
2.929 -3.760 0.000
2.929 3.760 0.000
-0.663 0.000 2.595
Nb Co
2 2
direct
0.208 0.792 0.000 Nb
0.792 0.208 0.000 Nb
0.308 0.308 0.570 Co
0.692 0.692 0.430 Co
```

Results
The space group is C2/m, No. 12. Its total moment is 0.000 μB/cell. The calculation puts the formation energy from the elements at -0.046 eV per atom.

***

No. 3
Crystalline ScTeAs at its relaxed geometry, computed with GGA-PBE.

```
ScTeAs
1.0
0.000 3.404 3.404
3.404 0.000 3.404
3.404 3.404 0.000
Sc Te As
1 1 1
direct
0.000 0.000 0.000 Sc
0.750 0.750 0.750 Te
0.250 0.250 0.250 As
```

Results
The formation energy without anion corrections comes out at -0.520 eV per atom. The space group is F-43m, No. 216. Its total moment is 0.000 μB/cell.

***

No. 4
Crystalline AcVP3 at its relaxed geometry, computed with GGA-PBE.

```
AcVP3
1.0
4.664 0.000 0.000
0.000 4.664 0.000
0.000 0.000 4.664
Ac V P
1 1 3
direct
0.000 0.000 0.000 Ac
0.500 0.500 0.500 V
0.000 0.500 0.500 P
0.500 0.000 0.500 P
0.500 0.500 0.000 P
```

Results
The space group is Pm-3m, No. 221. Its total moment is 0.000 μB/cell. The calculation puts the formation energy from the elements at -0.652 eV per atom.

***

No. 5
Crystalline LaCeDy2Tl4 at its relaxed geometry, computed with GGA-PBE.

```
LaCeDy2Tl4
1.0
2.738 1.581 8.952
-2.738 1.581 8.952
0.000 -3.161 8.952
La Ce Dy Tl
1 1 2 4
direct
0.000 0.000 0.000 La
0.500 0.500 0.500 Ce
0.250 0.250 0.250 Dy
0.750 0.750 0.750 Dy
0.126 0.126 0.126 Tl
0.376 0.376 0.376 Tl
0.624 0.624 0.624 Tl
0.874 0.874 0.874 Tl
```

Results
The space group is R-3m, No. 166. Its total moment is 1.037 μB/cell. The calculation puts the formation energy from the elements at -0.330 eV per atom.

***

No. 6
Crystalline KHoInTe3 at its relaxed geometry, computed with GGA-PBE.

```
KHoInTe3
1.0
9.285 0.000 0.000
0.000 4.294 0.000
-3.548 0.000 11.127
K Ho In Te
2 2 2 6
direct
0.227 0.250 0.278 K
0.773 0.750 0.722 K
0.362 0.750 0.845 Ho
0.638 0.250 0.155 Ho
0.124 0.250 0.571 In
0.876 0.750 0.429 In
0.112 0.250 0.813 Te
0.345 0.750 0.572 Te
0.394 0.750 0.114 Te
0.606 0.250 0.886 Te
0.655 0.250 0.428 Te
0.888 0.750 0.187 Te
```

Results
The formation energy without anion corrections comes out at -0.966 eV per atom. The space group is P2_1/m, No. 11. Its total moment is 0.000 μB/cell.

***

No. 7
Crystalline AcPmP at its relaxed geometry, computed with GGA-PBE.

```
AcPmP
1.0
2.519 1.454 8.188
-2.519 1.454 8.188
0.000 -2.909 8.188
Ac Pm P
2 2 2
direct
0.124 0.124 0.124 Ac
0.876 0.876 0.876 Ac
0.374 0.374 0.374 Pm
0.626 0.626 0.626 Pm
0.256 0.256 0.256 P
0.744 0.744 0.744 P
```

Results
The space group is R-3m, No. 166. Its total moment is 0.001 μB/cell. The calculation puts the formation energy from the elements at -0.744 eV per atom.

***

No. 8
Crystalline Zr5Sb at its relaxed geometry, computed with GGA-PBE.

```
Zr5Sb
1.0
0.000 4.118 4.118
4.118 0.000 4.118
4.118 4.118 0.000
Zr Sb
5 1
direct
0.000 0.000 0.000 Zr
0.118 0.627 0.627 Zr
0.627 0.118 0.627 Zr
0.627 0.627 0.118 Zr
0.627 0.627 0.627 Zr
0.250 0.250 0.250 Sb
```

Results
The formation energy without anion corrections comes out at 0.145 eV per atom. The space group is F-43m, No. 216. Its total moment is 0.000 μB/cell.

***

No. 9
Crystalline Ba2FeSe at its relaxed geometry, computed with GGA-PBE.

```
Ba2FeSe
1.0
-2.314 2.314 6.279
2.314 -2.314 6.279
2.314 2.314 -6.279
Ba Fe Se
2 1 1
direct
0.000 0.000 0.000 Ba
0.750 0.250 0.500 Ba
0.250 0.750 0.500 Fe
0.500 0.500 0.000 Se
```

Results
The formation energy without anion corrections comes out at -0.209 eV per atom. The space group is I-4m2, No. 119. Its total moment is 2.216 μB/cell.

***

No. 10
Crystalline ReTcSe at its relaxed geometry, computed with GGA-PBE.

```
ReTcSe
1.0
2.910 0.000 0.000
-1.455 2.520 0.000
0.000 0.000 6.274
Re Tc Se
1 1 1
direct
0.000 0.000 0.000 Re
0.333 0.667 0.673 Tc
0.667 0.333 0.338 Se
```

Results
The formation energy without anion corrections comes out at 0.257 eV per atom. The space group is P3m1, No. 156. Its total moment is 0.000 μB/cell.

***

No. 11
Crystalline SrTc2 at its relaxed geometry, computed with GGA-PBE.

```
SrTc2
1.0
4.085 0.000 0.000
-2.043 3.538 0.000
0.000 0.000 5.176
Sr Tc
1 2
direct
0.000 0.000 0.000 Sr
0.333 0.667 0.477 Tc
0.667 0.333 0.523 Tc
```

Results
The space group is P-3m1, No. 164. Its total moment is 0.000 μB/cell. The calculation puts the formation energy from the elements at 0.493 eV per atom.

***

No. 12
Crystalline KInH2 at its relaxed geometry, computed with GGA-PBE.

```
KInH2
1.0
6.656 0.000 0.000
0.000 7.916 0.000
-1.254 0.000 5.890
K In H
4 4 8
direct
0.240 0.128 0.466 K
0.240 0.372 0.966 K
0.760 0.628 0.034 K
0.760 0.872 0.534 K
0.258 0.617 0.474 In
0.258 0.883 0.974 In
0.742 0.117 0.026 In
0.742 0.383 0.526 In
0.080 0.696 0.846 H
0.080 0.804 0.346 H
0.415 0.717 0.201 H
0.415 0.783 0.701 H
0.585 0.217 0.299 H
0.585 0.283 0.799 H
0.920 0.196 0.654 H
0.920 0.304 0.154 H
```

Results
The space group is P2_1/c, No. 14. Its total moment is 0.000 μB/cell.

***

No. 13
Crystalline La4TlAu at its relaxed geometry, computed with GGA-PBE.

```
La4TlAu
1.0
5.827 0.000 0.000
0.000 10.506 0.000
-0.858 0.000 5.816
La Tl Au
8 2 2
direct
0.001 0.153 0.001 La
0.001 0.347 0.501 La
0.499 0.666 0.998 La
0.499 0.834 0.498 La
0.501 0.166 0.502 La
0.501 0.334 0.002 La
0.999 0.653 0.499 La
0.999 0.847 0.999 La
0.000 0.000 0.500 Tl
0.000 0.500 0.000 Tl
0.500 0.000 0.000 Au
0.500 0.500 0.500 Au
```

Results
The space group is P2_1/c, No. 14. Its total moment is 0.000 μB/cell. The calculation puts the formation energy from the elements at -0.338 eV per atom.

***

No. 14
Crystalline PaNiGe2 at its relaxed geometry, computed with GGA-PBE.

```
PaNiGe2
1.0
4.149 0.000 0.000
0.000 4.149 0.000
0.000 0.000 4.218
Pa Ni Ge
1 1 2
direct
0.000 0.000 0.000 Pa
0.500 0.500 0.000 Ni
0.000 0.500 0.500 Ge
0.500 0.000 0.500 Ge
```

Results
The space group is P4/mmm, No. 123. Its total moment is 0.000 μB/cell. The calculation puts the formation energy from the elements at -0.317 eV per atom.

***

No. 15
Crystalline BeAu3O at its relaxed geometry, computed with GGA-PBE.

```
BeAu3O
1.0
4.352 0.000 0.000
0.000 4.352 0.000
0.000 0.000 4.352
Be Au O
1 3 1
direct
0.000 0.000 0.000 Be
0.000 0.000 0.500 Au
0.000 0.500 0.000 Au
0.500 0.000 0.000 Au
0.500 0.500 0.500 O
```

Results
The formation energy without anion corrections comes out at 0.646 eV per atom. The space group is Pm-3m, No. 221. Its total moment is 0.000 μB/cell.

***

No. 16
Crystalline CePuSc3 at its relaxed geometry, computed with GGA-PBE.

```
CePuSc3
1.0
-5.311 3.755 3.240
5.311 -3.755 3.240
5.311 3.755 -3.240
Ce Pu Sc
2 2 6
direct
0.247 0.250 0.497 Ce
0.753 0.750 0.503 Ce
0.226 0.506 0.220 Pu
0.285 0.006 0.780 Pu
0.259 0.533 0.775 Sc
0.259 0.984 0.226 Sc
0.675 0.006 0.169 Sc
0.758 0.033 0.774 Sc
0.758 0.484 0.225 Sc
0.836 0.506 0.831 Sc
```

Results
The space group is Ima2, No. 46. Its total moment is 11.464 μB/cell. The calculation puts the formation energy from the elements at 0.338 eV per atom.

***

No. 17
Crystalline NbFeGeH at its relaxed geometry, computed with GGA-PBE.

```
NbFeGeH
1.0
2.971 0.000 0.000
0.000 2.090 3.656
0.000 -2.090 3.656
Nb Fe Ge H
1 1 1 1
direct
0.000 0.000 0.000 Nb
0.500 0.667 0.667 Fe
0.500 0.326 0.326 Ge
0.000 0.578 0.578 H
```

Results
The space group is Amm2, No. 38. Its total moment is 0.028 μB/cell.

***

No. 18
Crystalline Sr3PbAu2 at its relaxed geometry, computed with GGA-PBE.

```
Sr3PbAu2
1.0
3.885 0.000 0.000
0.000 3.885 0.000
0.000 0.000 12.073
Sr Pb Au
3 1 2
direct
0.000 0.000 0.000 Sr
0.000 0.000 0.315 Sr
0.000 0.000 0.685 Sr
0.500 0.500 0.500 Pb
0.500 0.500 0.159 Au
0.500 0.500 0.841 Au
```

Results
The space group is P4/mmm, No. 123. Its total moment is 0.000 μB/cell. The calculation puts the formation energy from the elements at -0.684 eV per atom.

***

No. 19
Crystalline Ac2DyCd3 at its relaxed geometry, computed with GGA-PBE.

```
Ac2DyCd3
1.0
3.896 0.000 0.000
0.000 3.896 0.000
0.000 0.000 12.306
Ac Dy Cd
2 1 3
direct
0.000 0.000 0.179 Ac
0.000 0.000 0.821 Ac
0.000 0.000 0.500 Dy
0.500 0.500 0.000 Cd
0.500 0.500 0.363 Cd
0.500 0.500 0.637 Cd
```

Results
The space group is P4/mmm, No. 123. Its total moment is 0.003 μB/cell. The calculation puts the formation energy from the elements at -0.283 eV per atom.

***

No. 20
Crystalline BaSrLi2Pd at its relaxed geometry, computed with GGA-PBE.

```
BaSrLi2Pd
1.0
5.400 0.000 0.000
0.000 5.400 0.000
0.000 0.000 5.654
Ba Sr Li Pd
1 1 2 1
direct
0.000 0.000 0.000 Ba
0.500 0.500 0.000 Sr
0.000 0.500 0.500 Li
0.500 0.000 0.500 Li
0.500 0.500 0.500 Pd
```

Results
The space group is P4/mmm, No. 123. Its total moment is 0.000 μB/cell. The calculation puts the formation energy from the elements at -0.088 eV per atom.

***

No. 21
Crystalline LiPa2Si4Ni3 at its relaxed geometry, computed with GGA-PBE.

```
LiPa2Si4Ni3
1.0
4.028 0.000 0.000
0.000 4.028 0.000
0.000 0.000 9.380
Li Pa Si Ni
1 2 4 3
direct
0.000 0.000 0.000 Li
0.000 0.500 0.751 Pa
0.500 0.000 0.249 Pa
0.000 0.000 0.500 Si
0.000 0.500 0.135 Si
0.500 0.000 0.865 Si
0.500 0.500 0.500 Si
0.000 0.500 0.380 Ni
0.500 0.000 0.620 Ni
0.500 0.500 0.000 Ni
```

Results
The formation energy without anion corrections comes out at -0.681 eV per atom. The space group is P-4m2, No. 115. Its total moment is 0.000 μB/cell.

***

No. 22
Crystalline Nd6Sm2Dy3Er at its relaxed geometry, computed with GGA-PBE.

```
Nd6Sm2Dy3Er
1.0
3.145 -5.447 0.000
3.145 5.447 0.000
-2.093 0.000 11.748
Nd Sm Dy Er
6 2 3 1
direct
0.084 0.416 0.751 Nd
0.249 0.249 0.248 Nd
0.416 0.084 0.751 Nd
0.584 0.916 0.249 Nd
0.751 0.751 0.752 Nd
0.916 0.584 0.249 Nd
0.333 0.667 0.500 Sm
0.667 0.333 0.500 Sm
0.167 0.833 0.000 Dy
0.500 0.500 0.000 Dy
0.833 0.167 0.000 Dy
0.000 0.000 0.500 Er
```

Results
The space group is C2/m, No. 12. Its total moment is 0.000 μB/cell. The calculation puts the formation energy from the elements at 0.012 eV per atom.

***

No. 23
Crystalline Na2TaNbN4 at its relaxed geometry, computed with GGA-PBE.

```
Na2TaNbN4
1.0
5.447 0.000 0.000
0.000 3.145 0.000
-1.815 0.000 5.704
Na Ta Nb N
2 1 1 4
direct
0.000 0.000 0.000 Na
0.500 0.500 0.000 Na
0.000 0.500 0.500 Ta
0.500 0.000 0.500 Nb
0.229 0.000 0.694 N
0.266 0.500 0.306 N
0.734 0.500 0.694 N
0.771 0.000 0.306 N
```

Results
The formation energy without anion corrections comes out at -0.815 eV per atom. The space group is P2/m, No. 10. Its total moment is 0.000 μB/cell.

***

No. 24
Crystalline Cd2CuRe2 at its relaxed geometry, computed with GGA-PBE.

```
Cd2CuRe2
1.0
-1.776 1.776 7.542
1.776 -1.776 7.542
1.776 1.776 -7.542
Cd Cu Re
2 1 2
direct
0.094 0.094 0.000 Cd
0.906 0.906 0.000 Cd
0.500 0.500 0.000 Cu
0.250 0.750 0.500 Re
0.750 0.250 0.500 Re
```

Results
The space group is I4/mmm, No. 139. Its total moment is 0.000 μB/cell. The calculation puts the formation energy from the elements at 0.723 eV per atom.

***

No. 25
Crystalline NiTe6Pt2 at its relaxed geometry, computed with GGA-PBE.

```
NiTe6Pt2
1.0
6.186 0.000 0.000
0.000 6.186 0.000
0.000 0.000 12.462
Ni Te Pt
2 12 4
direct
0.000 0.000 0.000 Ni
0.500 0.500 0.500 Ni
0.188 0.188 0.160 Te
0.188 0.188 0.840 Te
0.202 0.202 0.500 Te
0.298 0.702 0.000 Te
0.312 0.688 0.340 Te
0.312 0.688 0.660 Te
0.688 0.312 0.340 Te
0.688 0.312 0.660 Te
0.702 0.298 0.000 Te
0.798 0.798 0.500 Te
0.812 0.812 0.160 Te
0.812 0.812 0.840 Te
0.000 0.000 0.334 Pt
0.000 0.000 0.666 Pt
0.500 0.500 0.166 Pt
0.500 0.500 0.834 Pt
```

Results
The formation energy without anion corrections comes out at -0.090 eV per atom. The space group is P4_2/mnm, No. 136. Its total moment is 0.000 μB/cell.

***

Electronic total energy, respectively: -7.204; -8.634; -5.227; -6.543; -4.021; -3.940; -5.500; -7.666; -4.157; -8.510; -6.978; -2.649; -4.564; -6.445; -3.057; -7.514; -6.816; -3.236; -2.878; -2.613; -6.675; -4.689; -8.047; -5.441; -4.170 eV per atom.